An optimized crystal structure of BaZnAu. Source: Alexandria, functional PBE.

Unit cell a=4.6752 b=4.7065 c=7.7086 alpha=90.00 beta=90.00 gamma=90.00
Closest atoms and distances in Å follow each position.
Sites, in units of the cell vectors:
Ba1 0.2500 0.2500 0.1748  4 Zn 3.43-3.44, 5 Au 3.48-3.73
Ba2 0.7500 0.7500 0.8252  4 Zn 3.43-3.44, 5 Au 3.48-3.73
Zn1 0.2500 0.7500 0.4979  4 Au 2.75-2.78
Zn2 0.7500 0.2500 0.5021  4 Au 2.75-2.78
Au1 0.2500 0.2500 0.6905  4 Zn 2.75-2.78
Au2 0.7500 0.7500 0.3095  4 Zn 2.75-2.78

Calculated values
Total energy (eV per cell): -15.89
Space-group type: No. 59
Formation energy (eV/atom): -0.49
Magnetic moment (μB per atom): 0.00

An optimized crystal structure of BaZn2Au. Source: Alexandria, functional PBE.

Unit cell a=3.7726 b=3.7726 c=7.0322 alpha=90.00 beta=90.00 gamma=92.36
Closest atoms and distances in Å follow each position.
Sites, in units of the cell vectors:
Ba1 0.0000 0.0000 0.0000  4 Au 3.37-3.45, 6 Zn 3.47-3.57
Zn1 0.0000 0.0000 0.5060  4 Zn 2.90-3.00, 4 Au 2.94-3.04
Zn2 0.5000 0.5000 0.3279  1 Au 2.60, 2 Zn 2.90
Au1 0.5000 0.5000 0.6976  1 Zn 2.60

Calculated values
Total energy (eV per cell): -8.51
Space-group type: No. 35
Formation energy (eV/atom): -0.19
Magnetic moment (μB per atom): 0.00

An optimized crystal structure of BaZn2Au. Source: Alexandria, functional PBE.

Unit cell a=3.6124 b=3.6124 c=7.3112 alpha=90.00 beta=90.00 gamma=90.00
Closest atoms and distances in Å follow each position.
Sites, in units of the cell vectors:
Ba1 0.0000 0.0000 0.0000  8 Zn 3.47, 4 Ba 3.61, 2 Au 3.66
Zn1 0.5000 0.5000 0.3222  1 Zn 2.60, 4 Au 2.87
Zn2 0.5000 0.5000 0.6778  1 Zn 2.60, 4 Au 2.87
Au1 0.0000 0.0000 0.5000  8 Zn 2.87

Calculated values
Total energy (eV per cell): -8.43
Space-group type: No. 123
Formation energy (eV/atom): -0.17
Magnetic moment (μB per atom): 0.00

An optimized crystal structure of Ba5Zn5Au2. Source: Alexandria, functional PBE.

Unit cell a=9.2403 b=9.2403 c=13.1475 alpha=130.28 beta=130.28 gamma=28.27
Closest atoms and distances in Å follow each position.
Sites, in units of the cell vectors:
Ba1 0.0000 0.0000 0.0000  4 Au 3.42, 6 Zn 3.50-3.62
Ba2 0.3115 0.3115 0.4193  7 Zn 3.41-3.58, 3 Au 3.46-3.47
Ba3 0.3834 0.3834 0.1906  5 Zn 3.41-3.68, 1 Au 3.60
Ba4 0.6166 0.6166 0.8094  5 Zn 3.41-3.68, 1 Au 3.60
Ba5 0.6885 0.6885 0.5807  7 Zn 3.41-3.58, 3 Au 3.46-3.47
Zn1 0.0000 0.0000 0.5000  2 Zn 3.34, 4 Ba 3.58
Zn2 0.0707 0.0707 0.3204  2 Au 2.68
Zn3 0.2903 0.2903 0.8424  1 Au 2.79
Zn4 0.7097 0.7097 0.1576  1 Au 2.79
Zn5 0.9293 0.9293 0.6796  2 Au 2.68
Au1 0.3847 0.3847 0.7386  3 Zn 2.68-2.79
Au2 0.6153 0.6153 0.2614  3 Zn 2.68-2.79

Calculated values
Total energy (eV per cell): -26.44
Space-group type: No. 12
Formation energy (eV/atom): -0.32
Magnetic moment (μB per atom): 0.00

An optimized crystal structure of Ba2ZnAu3. Source: Alexandria, functional PBE.

Unit cell a=9.5917 b=9.3890 c=6.4977 alpha=71.67 beta=68.31 gamma=40.02
Closest atoms and distances in Å follow each position.
Sites, in units of the cell vectors:
Ba1 0.2435 0.7565 0.7565  10 Au 3.51-3.60, 2 Zn 3.56
Ba2 0.2500 0.2500 0.2500  8 Au 3.49, 4 Zn 3.53
Ba3 0.7500 0.7500 0.7500  8 Au 3.49, 4 Zn 3.53
Ba4 0.7565 0.2435 0.2435  10 Au 3.51-3.60, 2 Zn 3.56
Zn1 0.3335 0.3335 0.6665  3 Au 2.64-2.65
Zn2 0.6665 0.6665 0.3335  3 Au 2.64-2.65
Au1 0.1737 0.1737 0.8263  1 Zn 2.65, 2 Au 2.90
Au2 0.1754 0.6514 0.3486  1 Zn 2.64, 2 Au 2.88-2.90
Au3 0.3486 0.8246 0.1754  1 Zn 2.64, 2 Au 2.88-2.90
Au4 0.6514 0.1754 0.8246  1 Zn 2.64, 2 Au 2.88-2.90
Au5 0.8246 0.3486 0.6514  1 Zn 2.64, 2 Au 2.88-2.90
Au6 0.8263 0.8263 0.1737  1 Zn 2.65, 2 Au 2.90

Calculated values
Total energy (eV per cell): -37.72
Space-group type: No. 69
Formation energy (eV/atom): -0.65
Magnetic moment (μB per atom): 0.00

An optimized crystal structure of BaZnAu. Source: Alexandria, functional PBE.

Unit cell a=6.2150 b=6.2150 c=6.2150 alpha=144.59 beta=144.59 gamma=50.94
Closest atoms and distances in Å follow each position.
Sites, in units of the cell vectors:
Ba1 0.0000 0.0000 0.0000  5 Zn 3.29-3.54, 5 Au 3.36-3.49
Zn1 0.7070 0.7070 0.0000  4 Au 2.87
Au1 0.2998 0.2998 0.0000  4 Zn 2.87

Calculated values
Total energy (eV per cell): -7.57
Space-group type: No. 107
Formation energy (eV/atom): -0.36
Magnetic moment (μB per atom): 0.00

An optimized crystal structure of Ba2Zn3Au2. Source: Alexandria, functional PBE.

Unit cell a=10.9640 b=10.9640 c=7.9695 alpha=90.00 beta=90.00 gamma=156.46
Closest atoms and distances in Å follow each position.
Sites, in units of the cell vectors:
Ba1 0.0566 0.9434 0.7500  9 Zn 3.28-3.53, 4 Au 3.54
Ba2 0.1740 0.8260 0.2500  6 Zn 3.35-3.63, 6 Au 3.40-3.73
Ba3 0.8260 0.1740 0.7500  6 Zn 3.35-3.63, 6 Au 3.40-3.73
Ba4 0.9434 0.0566 0.2500  9 Zn 3.28-3.53, 4 Au 3.54
Zn1 0.2096 0.7904 0.7500  4 Au 2.82
Zn2 0.4446 0.5554 0.5881  2 Zn 2.58-2.76, 1 Au 2.68
Zn3 0.4446 0.5554 0.9119  2 Zn 2.58-2.76, 1 Au 2.68
Zn4 0.5554 0.4446 0.0881  2 Zn 2.58-2.76, 1 Au 2.68
Zn5 0.5554 0.4446 0.4119  2 Zn 2.58-2.76, 1 Au 2.68
Zn6 0.7904 0.2096 0.2500  4 Au 2.82
Au1 0.3346 0.6654 0.0701  3 Zn 2.68-2.82, 1 Au 2.87
Au2 0.3346 0.6654 0.4299  3 Zn 2.68-2.82, 1 Au 2.87
Au3 0.6654 0.3346 0.5701  3 Zn 2.68-2.82, 1 Au 2.87
Au4 0.6654 0.3346 0.9299  3 Zn 2.68-2.82, 1 Au 2.87

Calculated values
Polymorph energy (0 for the lowest one) (eV/atom): 0.022
Total energy (eV per cell): -33.81
Space-group type: No. 63
Formation energy (eV/atom): -0.38
Magnetic moment (μB per atom): 0.00

An optimized crystal structure of Ba2ZnAu7. Source: Alexandria, functional PBE.

Unit cell a=4.7603 b=4.7603 c=11.1170 alpha=90.00 beta=90.00 gamma=90.00
Closest atoms and distances in Å follow each position.
Sites, in units of the cell vectors:
Ba1 0.0000 0.5000 0.2415  14 Au 3.56-3.73, 2 Zn 3.73
Ba2 0.5000 0.0000 0.7585  14 Au 3.56-3.73, 2 Zn 3.73
Zn1 0.0000 0.0000 0.5000  4 Au 2.73
Au1 0.0000 0.0000 0.0000  4 Au 2.82
Au2 0.0000 0.5000 0.6209  3 Au 2.70-2.73, 2 Zn 2.73
Au3 0.0000 0.5000 0.8641  5 Au 2.70-2.82
Au4 0.5000 0.0000 0.1359  5 Au 2.70-2.82
Au5 0.5000 0.0000 0.3791  3 Au 2.70-2.73, 2 Zn 2.73
Au6 0.5000 0.5000 0.0000  4 Au 2.82
Au7 0.5000 0.5000 0.5000  4 Au 2.73

Calculated values
Total energy (eV per cell): -32.67
Space-group type: No. 115
Formation energy (eV/atom): -0.46
Magnetic moment (μB per atom): 0.00

An optimized crystal structure of Ba3ZnAu. Source: Alexandria, functional PBE.

Unit cell a=8.7554 b=4.5397 c=10.9450 alpha=90.00 beta=105.92 gamma=90.00
Closest atoms and distances in Å follow each position.
Sites, in units of the cell vectors:
Ba1 0.1341 0.2500 0.2662  2 Au 3.51, 3 Zn 3.52-3.57
Ba2 0.2885 0.2500 0.9472  3 Au 3.39-3.46
Ba3 0.3564 0.7500 0.6257  2 Au 3.42, 3 Zn 3.47-3.54
Ba4 0.6436 0.2500 0.3743  2 Au 3.42, 3 Zn 3.47-3.54
Ba5 0.7115 0.7500 0.0528  3 Au 3.39-3.46
Ba6 0.8659 0.7500 0.7338  2 Au 3.51, 3 Zn 3.52-3.57
Zn1 0.0345 0.2500 0.5617  2 Zn 2.63
Zn2 0.9655 0.7500 0.4383  2 Zn 2.63
Au1 0.3958 0.7500 0.1856  7 Ba 3.39-3.51
Au2 0.6042 0.2500 0.8144  7 Ba 3.39-3.51

Calculated values
Polymorph energy (0 for the lowest one) (eV/atom): 0.000
Total energy (eV per cell): -24.21
Space-group type: No. 11
Formation energy (eV/atom): -0.36
Magnetic moment (μB per atom): 0.00

An optimized crystal structure of BaZnAu2. Source: Alexandria, functional PBE.

Unit cell a=5.0293 b=5.0293 c=4.1981 alpha=90.00 beta=90.00 gamma=90.00
Closest atoms and distances in Å follow each position.
Sites, in units of the cell vectors:
Ba1 0.0000 0.0000 0.0000  8 Au 3.28, 4 Zn 3.56
Zn1 0.5000 0.5000 0.0000  8 Au 3.28, 4 Ba 3.56
Au1 0.0000 0.5000 0.5000  4 Ba 3.28, 4 Zn 3.28, 4 Au 3.56
Au2 0.5000 0.0000 0.5000  4 Ba 3.28, 4 Zn 3.28, 4 Au 3.56

Calculated values
Total energy (eV per cell): -10.81
Space-group type: No. 123
Formation energy (eV/atom): -0.26
Magnetic moment (μB per atom): 0.00

An optimized crystal structure of BaZnAu. Source: Alexandria, functional PBE.

Unit cell a=5.0917 b=5.0917 c=5.0917 alpha=60.00 beta=60.00 gamma=60.00
Closest atoms and distances in Å follow each position.
Sites, in units of the cell vectors:
Ba1 0.0000 0.0000 0.0000  4 Zn 3.12
Zn1 0.7500 0.7500 0.7500  4 Au 3.12, 4 Ba 3.12
Au1 0.5000 0.5000 0.5000  4 Zn 3.12

Calculated values
Total energy (eV per cell): -7.21
Space-group type: No. 216
Formation energy (eV/atom): -0.24
Magnetic moment (μB per atom): 0.00